Computed, not measured: a relaxed structure of CdTcAu2 at the PBE level of DFT.

Output
ΔH_f (0 K) = 252 meV/atom
Raw total energy = -16.83 eV for the cell shown
DOS(E_F) = 3.27 states/eV/cell

The structure in POSCAR format:
```
CdTcAu2
1.0
1.456 0.841 9.567
-1.456 0.841 9.567
0.000 -1.682 9.567
Cd Tc Au
1 1 2
direct
0.000 0.000 0.000
0.749 0.749 0.749
0.246 0.246 0.246
0.494 0.494 0.494
```